{"formula": "Pr3Er4Tl", "functional": "PBE", "state": "optimized geometry", "lattice_angstrom": [[11.312, 0.000, 0.000], [0.000, 7.137, 0.000], [0.000, 0.000, 6.258]], "species": ["Pr", "Pr", "Pr", "Pr", "Pr", "Pr", "Er", "Er", "Er", "Er", "Er", "Er", "Er", "Er", "Tl", "Tl"], "fractional_positions": [[0.000, 0.129, 0.000], [0.235, 0.117, 0.354], [0.265, 0.883, 0.854], [0.500, 0.871, 0.500], [0.735, 0.883, 0.854], [0.765, 0.117, 0.354], [0.000, 0.387, 0.545], [0.000, 0.627, 0.027], [0.241, 0.621, 0.365], [0.259, 0.379, 0.865], [0.500, 0.373, 0.527], [0.500, 0.613, 0.045], [0.741, 0.379, 0.865], [0.759, 0.621, 0.365], [0.000, 0.854, 0.534], [0.500, 0.146, 0.034]], "rho_g_cm3": 8.52, "total_energy_ev_per_atom": -4.445, "sg": "No. 31", "dos_ef_per_ev_cell": 16.0}

---

{"formula": "Pr6ErTl5", "functional": "PBE", "state": "optimized geometry", "lattice_angstrom": [[5.282, -5.867, 0.000], [5.282, 5.867, 0.000], [-1.415, 0.000, 6.303]], "species": ["Pr", "Pr", "Pr", "Pr", "Pr", "Pr", "Er", "Tl", "Tl", "Tl", "Tl", "Tl"], "fractional_positions": [[0.041, 0.404, 0.729], [0.215, 0.215, 0.208], [0.404, 0.041, 0.729], [0.596, 0.959, 0.271], [0.785, 0.785, 0.792], [0.959, 0.596, 0.271], [0.500, 0.500, 0.000], [0.000, 0.000, 0.500], [0.215, 0.785, 0.000], [0.368, 0.632, 0.500], [0.632, 0.368, 0.500], [0.785, 0.215, 0.000]], "rho_g_cm3": 8.65, "total_energy_ev_per_atom": -3.943, "sg": "No. 12", "dos_ef_per_ev_cell": 12.1}

---

{"formula": "Pr6ErTl3", "functional": "PBE", "state": "optimized geometry", "lattice_angstrom": [[5.452, -8.042, 0.000], [5.452, 8.042, 0.000], [0.000, 0.000, 7.853]], "species": ["Pr", "Pr", "Pr", "Pr", "Pr", "Pr", "Pr", "Pr", "Pr", "Pr", "Pr", "Pr", "Er", "Er", "Tl", "Tl", "Tl", "Tl", "Tl", "Tl"], "fractional_positions": [[0.042, 0.958, 0.500], [0.087, 0.463, 0.013], [0.233, 0.304, 0.328], [0.296, 0.704, 0.383], [0.304, 0.233, 0.828], [0.463, 0.087, 0.513], [0.537, 0.913, 0.013], [0.696, 0.767, 0.328], [0.704, 0.296, 0.883], [0.767, 0.696, 0.828], [0.913, 0.537, 0.513], [0.958, 0.042, 0.000], [0.184, 0.816, 0.811], [0.816, 0.184, 0.311], [0.011, 0.281, 0.656], [0.281, 0.011, 0.156], [0.448, 0.552, 0.047], [0.552, 0.448, 0.547], [0.719, 0.989, 0.656], [0.989, 0.719, 0.156]], "rho_g_cm3": 7.84, "total_energy_ev_per_atom": -4.137, "sg": "No. 36", "dos_ef_per_ev_cell": 28.3}

---

{"formula": "Pr7ErTl4", "functional": "PBE", "state": "optimized geometry", "lattice_angstrom": [[7.522, -2.982, 0.000], [7.522, 2.982, 0.000], [-5.742, 0.000, 8.881]], "species": ["Pr", "Pr", "Pr", "Pr", "Pr", "Pr", "Pr", "Er", "Tl", "Tl", "Tl", "Tl"], "fractional_positions": [[0.000, 0.000, 0.000], [0.230, 0.230, 0.670], [0.297, 0.297, 0.116], [0.438, 0.438, 0.607], [0.562, 0.562, 0.393], [0.703, 0.703, 0.884], [0.770, 0.770, 0.330], [0.500, 0.500, 0.000], [0.055, 0.055, 0.741], [0.186, 0.186, 0.335], [0.814, 0.814, 0.665], [0.945, 0.945, 0.259]], "rho_g_cm3": 8.22, "total_energy_ev_per_atom": -4.033, "sg": "No. 12", "dos_ef_per_ev_cell": 12.9}

---

{"formula": "PrEr2Tl9", "functional": "PBE", "state": "optimized geometry", "lattice_angstrom": [[4.788, 0.000, 0.000], [0.000, 4.788, 0.000], [0.000, 0.000, 14.359]], "species": ["Pr", "Er", "Er", "Tl", "Tl", "Tl", "Tl", "Tl", "Tl", "Tl", "Tl", "Tl"], "fractional_positions": [[0.000, 0.000, 0.000], [0.000, 0.000, 0.335], [0.000, 0.000, 0.665], [0.000, 0.500, 0.172], [0.000, 0.500, 0.500], [0.000, 0.500, 0.828], [0.500, 0.000, 0.172], [0.500, 0.000, 0.500], [0.500, 0.000, 0.828], [0.500, 0.500, 0.000], [0.500, 0.500, 0.335], [0.500, 0.500, 0.665]], "rho_g_cm3": 11.68, "total_energy_ev_per_atom": -3.176, "sg": "No. 123", "dos_ef_per_ev_cell": 3.2}

---

{"formula": "Pr6ErTl2", "functional": "PBE", "state": "optimized geometry", "lattice_angstrom": [[8.140, -5.958, 0.000], [8.140, 5.958, 0.000], [-0.959, 0.000, 5.976]], "species": ["Pr", "Pr", "Pr", "Pr", "Pr", "Pr", "Pr", "Pr", "Pr", "Pr", "Pr", "Pr", "Er", "Er", "Tl", "Tl", "Tl", "Tl"], "fractional_positions": [[0.055, 0.828, 0.965], [0.139, 0.386, 0.166], [0.172, 0.945, 0.535], [0.276, 0.497, 0.698], [0.386, 0.139, 0.666], [0.497, 0.276, 0.198], [0.503, 0.724, 0.802], [0.614, 0.861, 0.334], [0.724, 0.503, 0.302], [0.828, 0.055, 0.465], [0.861, 0.614, 0.834], [0.945, 0.172, 0.035], [0.355, 0.645, 0.250], [0.645, 0.355, 0.750], [0.018, 0.293, 0.599], [0.293, 0.018, 0.099], [0.707, 0.982, 0.901], [0.982, 0.707, 0.401]], "rho_g_cm3": 8.14, "total_energy_ev_per_atom": -4.341, "sg": "No. 15", "dos_ef_per_ev_cell": 21.3}

---

{"formula": "Pr3Er5Tl2", "functional": "PBE", "state": "optimized geometry", "lattice_angstrom": [[-6.499, 7.745, 3.238], [6.499, -7.745, 3.238], [6.499, 7.745, -3.238]], "species": ["Pr", "Pr", "Pr", "Pr", "Pr", "Pr", "Er", "Er", "Er", "Er", "Er", "Er", "Er", "Er", "Er", "Er", "Tl", "Tl", "Tl", "Tl"], "fractional_positions": [[0.239, 0.120, 0.359], [0.250, 0.250, 0.000], [0.261, 0.620, 0.882], [0.739, 0.380, 0.118], [0.750, 0.750, 0.000], [0.761, 0.880, 0.641], [0.163, 0.383, 0.546], [0.250, 0.505, 0.255], [0.250, 0.750, 0.500], [0.250, 0.995, 0.745], [0.337, 0.883, 0.219], [0.663, 0.117, 0.781], [0.750, 0.005, 0.255], [0.750, 0.250, 0.500], [0.750, 0.495, 0.745], [0.837, 0.617, 0.454], [0.146, 0.861, 0.007], [0.354, 0.361, 0.714], [0.646, 0.639, 0.286], [0.854, 0.139, 0.993]], "rho_g_cm3": 8.50, "total_energy_ev_per_atom": -4.118, "sg": "No. 72", "dos_ef_per_ev_cell": 28.4}

---

{"formula": "PrEr8Tl6", "functional": "PBE", "state": "optimized geometry", "lattice_angstrom": [[4.541, 2.622, 6.481], [-4.541, 2.622, 6.481], [0.000, -5.243, 6.481]], "species": ["Pr", "Er", "Er", "Er", "Er", "Er", "Er", "Er", "Er", "Tl", "Tl", "Tl", "Tl", "Tl", "Tl"], "fractional_positions": [[0.000, 0.000, 0.000], [0.111, 0.778, 0.440], [0.222, 0.560, 0.889], [0.332, 0.332, 0.332], [0.440, 0.111, 0.778], [0.560, 0.889, 0.222], [0.668, 0.668, 0.668], [0.778, 0.440, 0.111], [0.889, 0.222, 0.560], [0.065, 0.406, 0.724], [0.276, 0.935, 0.594], [0.406, 0.724, 0.065], [0.594, 0.276, 0.935], [0.724, 0.065, 0.406], [0.935, 0.594, 0.276]], "rho_g_cm3": 9.70, "total_energy_ev_per_atom": -3.816, "sg": "No. 148", "dos_ef_per_ev_cell": 18.4}